(1)
# PBE SmTm2Pb2, relaxed
# E_form	-0.41	eV/atom
data_SmTm2Pb2
_chemical_formula_sum 'Sm4 Tm8 Pb8'
_space_group_name_H-M_alt 'C m c 21'
_space_group_IT_number 36
_space_group_name_Hall 'C 2c -2'
_cell_length_a 4.8814
_cell_length_b 18.7855
_cell_length_c 6.5592
_cell_angle_alpha 90.00
_cell_angle_beta 90.00
_cell_angle_gamma 90.00
loop_
_atom_site_label
_atom_site_fract_x
_atom_site_fract_y
_atom_site_fract_z
Sm1 0.0000 0.1107 0.0000
Tm1 0.0000 0.3170 0.0337
Tm2 0.0000 0.4937 0.7573
Pb1 0.0000 0.0725 0.5081
Pb2 0.0000 0.2914 0.5444

---

(2)
# PBE BTeIO2, relaxed
# relative energy among the computed polymorphs	0	meV per atom
# ΔE_f (raw)	0.4756	eV/atom
data_BTeIO2
_chemical_formula_sum 'B1 Te1 I1 O2'
_space_group_name_H-M_alt 'P 4/m m m'
_space_group_IT_number 123
_space_group_name_Hall '-P 4 2'
_cell_length_a 4.0372
_cell_length_b 4.0372
_cell_length_c 7.0239
_cell_angle_alpha 90.00
_cell_angle_beta 90.00
_cell_angle_gamma 90.00
loop_
_atom_site_label
_atom_site_fract_x
_atom_site_fract_y
_atom_site_fract_z
B1 0.0000 0.0000 0.0000
Te1 0.5000 0.5000 0.5000
I1 0.5000 0.5000 0.0000
O1 0.0000 0.5000 0.5000

---

(3)
# PBE YMnCl2, relaxed
# relative energy among the computed polymorphs	10	meV per atom
# ΔE_f (raw)	-0.9463	eV/atom
data_YMnCl2
_chemical_formula_sum 'Y1 Mn1 Cl2'
_space_group_name_H-M_alt 'P 1 m 1'
_space_group_IT_number 6
_space_group_name_Hall 'P -2y'
_cell_length_a 3.6204
_cell_length_b 3.5467
_cell_length_c 8.2227
_cell_angle_alpha 90.00
_cell_angle_beta 102.20
_cell_angle_gamma 90.00
loop_
_atom_site_label
_atom_site_fract_x
_atom_site_fract_y
_atom_site_fract_z
Y1 0.0000 0.0000 0.0000
Mn1 0.6081 0.5000 0.2348
Cl1 0.1849 0.0000 0.3596
Cl2 0.8785 0.5000 0.7542

---

(4)
# PBE MnZn2Ru, relaxed
# relative energy among the computed polymorphs	49	meV per atom
# E_form	0.00	eV/atom
data_MnZn2Ru
_chemical_formula_sum 'Mn4 Zn8 Ru4'
_space_group_name_H-M_alt 'F m -3 m'
_space_group_IT_number 225
_space_group_name_Hall '-F 4 2 3'
_cell_length_a 6.0495
_cell_length_b 6.0495
_cell_length_c 6.0495
_cell_angle_alpha 90.00
_cell_angle_beta 90.00
_cell_angle_gamma 90.00
loop_
_atom_site_label
_atom_site_fract_x
_atom_site_fract_y
_atom_site_fract_z
Mn1 0.0000 0.0000 0.0000
Zn1 0.2500 0.2500 0.2500
Ru1 0.0000 0.0000 0.5000

---

(5)
# PBE Zr2Sc2Ni, relaxed
# relative energy among the computed polymorphs	515	meV per atom
# E_form	0.57	eV/atom
data_Zr2Sc2Ni
_chemical_formula_sum 'Zr4 Sc4 Ni2'
_space_group_name_H-M_alt 'I 4/m m m'
_space_group_IT_number 139
_space_group_name_Hall '-I 4 2'
_cell_length_a 3.7483
_cell_length_b 3.7483
_cell_length_c 15.6235
_cell_angle_alpha 90.00
_cell_angle_beta 90.00
_cell_angle_gamma 90.00
loop_
_atom_site_label
_atom_site_fract_x
_atom_site_fract_y
_atom_site_fract_z
Zr1 0.0000 0.0000 0.0839
Sc1 0.0000 0.5000 0.2500
Ni1 0.0000 0.0000 0.5000

---

(6)
# PBE TaZnTc3, relaxed
# relative energy among the computed polymorphs	299	meV per atom
# E_form	1.72	eV/atom
data_TaZnTc3
_chemical_formula_sum 'Ta1 Zn1 Tc3'
_space_group_name_H-M_alt 'P m -3 m'
_space_group_IT_number 221
_space_group_name_Hall '-P 4 2 3'
_cell_length_a 4.7426
_cell_length_b 4.7426
_cell_length_c 4.7426
_cell_angle_alpha 90.00
_cell_angle_beta 90.00
_cell_angle_gamma 90.00
loop_
_atom_site_label
_atom_site_fract_x
_atom_site_fract_y
_atom_site_fract_z
Ta1 0.0000 0.0000 0.0000
Zn1 0.5000 0.5000 0.5000
Tc1 0.0000 0.0000 0.5000

---

(7)
# PBE Cr2GaSi2, relaxed
# relative energy among the computed polymorphs	0	meV per atom
# ΔE_f (raw)	-0.0675	eV/atom
data_Cr2GaSi2
_chemical_formula_sum 'Cr4 Ga2 Si4'
_space_group_name_H-M_alt 'P 4/m b m'
_space_group_IT_number 127
_space_group_name_Hall '-P 4 2ab'
_cell_length_a 6.4551
_cell_length_b 6.4551
_cell_length_c 3.1696
_cell_angle_alpha 90.00
_cell_angle_beta 90.00
_cell_angle_gamma 90.00
loop_
_atom_site_label
_atom_site_fract_x
_atom_site_fract_y
_atom_site_fract_z
Cr1 0.1532 0.3468 0.0000
Ga1 0.0000 0.0000 0.0000
Si1 0.1400 0.6400 0.5000

---

(8)
# PBE Mn2W2Au, relaxed
# relative energy among the computed polymorphs	0	meV per atom
# E_form	0.29	eV/atom
data_Mn2W2Au
_chemical_formula_sum 'Mn4 W4 Au2'
_space_group_name_H-M_alt 'P 4/m b m'
_space_group_IT_number 127
_space_group_name_Hall '-P 4 2ab'
_cell_length_a 7.0873
_cell_length_b 7.0873
_cell_length_c 2.8883
_cell_angle_alpha 90.00
_cell_angle_beta 90.00
_cell_angle_gamma 90.00
loop_
_atom_site_label
_atom_site_fract_x
_atom_site_fract_y
_atom_site_fract_z
Mn1 0.1379 0.3621 0.0000
W1 0.1574 0.6574 0.5000
Au1 0.0000 0.0000 0.0000

---

(9)
# PBE Y2AsSe, relaxed
# relative energy among the computed polymorphs	498	meV per atom
# ΔE_f (raw)	-1.2270	eV/atom
data_Y2AsSe
_chemical_formula_sum 'Y8 As4 Se4'
_space_group_name_H-M_alt 'I -4 2 d'
_space_group_IT_number 122
_space_group_name_Hall 'I -4 2bw'
_cell_length_a 6.4216
_cell_length_b 6.4216
_cell_length_c 12.9067
_cell_angle_alpha 90.00
_cell_angle_beta 90.00
_cell_angle_gamma 90.00
loop_
_atom_site_label
_atom_site_fract_x
_atom_site_fract_y
_atom_site_fract_z
Y1 0.2436 0.2500 0.1250
As1 0.0000 0.0000 0.0000
Se1 0.0000 0.0000 0.5000

---

(10)
# PBE CaMnAgP, relaxed
# E_form	-0.55	eV/atom
data_CaMnAgP
_chemical_formula_sum 'Ca2 Mn2 Ag2 P2'
_space_group_name_H-M_alt 'P 4/n m m'
_space_group_IT_number 129
_cell_length_a 3.7804
_cell_length_b 3.7804
_cell_length_c 10.6844
_cell_angle_alpha 90.00
_cell_angle_beta 90.00
_cell_angle_gamma 90.00
loop_
_space_group_symop_operation_xyz
'x,y,z'
'-x,-y,-z'
'-y+1/2,x,z'
'y+1/2,-x,-z'
'-x+1/2,-y+1/2,z'
'x+1/2,y+1/2,-z'
'y,-x+1/2,z'
'-y,x+1/2,-z'
'x+1/2,-y,-z'
'-x+1/2,y,z'
'-y,-x,-z'
'y,x,z'
'-x,y+1/2,-z'
'x,-y+1/2,z'
'y+1/2,x+1/2,-z'
'-y+1/2,-x+1/2,z'
loop_
_atom_site_label
_atom_site_fract_x
_atom_site_fract_y
_atom_site_fract_z
Ca1 0.2500 0.2500 0.2480
Mn1 0.2500 0.7500 0.0000
Ag1 0.2500 0.7500 0.5000
P1 0.2500 0.2500 0.8753

---

(11)
# PBE FeOs3C, relaxed
# relative energy among the computed polymorphs	0	meV per atom
# E_form	0.67	eV/atom
data_FeOs3C
_chemical_formula_sum 'Fe1 Os3 C1'
_space_group_name_H-M_alt 'P m -3 m'
_space_group_IT_number 221
_space_group_name_Hall '-P 4 2 3'
_cell_length_a 3.9936
_cell_length_b 3.9936
_cell_length_c 3.9936
_cell_angle_alpha 90.00
_cell_angle_beta 90.00
_cell_angle_gamma 90.00
loop_
_atom_site_label
_atom_site_fract_x
_atom_site_fract_y
_atom_site_fract_z
Fe1 0.0000 0.0000 0.0000
Os1 0.0000 0.5000 0.5000
C1 0.5000 0.5000 0.5000

---

(12)
# PBE Pa2InGeN5, relaxed
# ΔE_f (raw)	-0.6107	eV/atom
data_Pa2InGeN5
_chemical_formula_sum 'Pa8 In4 Ge4 N20'
_space_group_name_H-M_alt 'C m c 21'
_space_group_IT_number 36
_space_group_name_Hall 'C 2c -2'
_cell_length_a 3.2726
_cell_length_b 15.2399
_cell_length_c 9.6358
_cell_angle_alpha 90.00
_cell_angle_beta 90.00
_cell_angle_gamma 90.00
loop_
_atom_site_label
_atom_site_fract_x
_atom_site_fract_y
_atom_site_fract_z
Pa1 0.0000 0.1096 0.0000
Pa2 0.0000 0.1193 0.6228
In1 0.0000 0.2194 0.3298
Ge1 0.0000 0.4507 0.7797
N1 0.0000 0.0309 0.3765
N2 0.0000 0.3022 0.0036
N3 0.0000 0.3376 0.6934
N4 0.0000 0.3618 0.3215
N5 0.0000 0.4954 0.1037

---

Copy entry 7 word for word.
# PBE Cr2GaSi2, relaxed
# relative energy among the computed polymorphs	0	meV per atom
# ΔE_f (raw)	-0.0675	eV/atom
data_Cr2GaSi2
_chemical_formula_sum 'Cr4 Ga2 Si4'
_space_group_name_H-M_alt 'P 4/m b m'
_space_group_IT_number 127
_space_group_name_Hall '-P 4 2ab'
_cell_length_a 6.4551
_cell_length_b 6.4551
_cell_length_c 3.1696
_cell_angle_alpha 90.00
_cell_angle_beta 90.00
_cell_angle_gamma 90.00
loop_
_atom_site_label
_atom_site_fract_x
_atom_site_fract_y
_atom_site_fract_z
Cr1 0.1532 0.3468 0.0000
Ga1 0.0000 0.0000 0.0000
Si1 0.1400 0.6400 0.5000